Entry 1:
# meta-GGA SCAN CuTeNF2, single point on PBEsol structure
data_CuTeNF2
_symmetry_space_group_name_H-M 'P 4/m m m'
_symmetry_Int_Tables_number 123
_symmetry_space_group_name_Hall '-P 4 2'
_cell_length_a 3.5577
_cell_length_b 3.5577
_cell_length_c 5.5580
_cell_angle_alpha 90.00
_cell_angle_beta 90.00
_cell_angle_gamma 90.00
loop_
_atom_site_label
_atom_site_type_symbol
_atom_site_fract_x
_atom_site_fract_y
_atom_site_fract_z
Cu1 Cu 0.0000 0.0000 0.0000
Te1 Te 0.5000 0.5000 0.5000
N1 N 0.0000 0.0000 0.5000
F1 F 0.0000 0.5000 0.0000
# Energy relative to the elements, uncorrected: -0.2284 eV per atom
# Uncorrected energy: -13.993 eV per atom

---

Entry 2:
# meta-GGA SCAN CsB3O5, single point on PBEsol structure
data_CsB3O5
_symmetry_space_group_name_H-M 'P 21 21 21'
_symmetry_Int_Tables_number 19
_cell_length_a 5.8336
_cell_length_b 8.4185
_cell_length_c 9.9640
_cell_angle_alpha 90.00
_cell_angle_beta 90.00
_cell_angle_gamma 90.00
loop_
_symmetry_equiv_pos_as_xyz
'x,y,z'
'-x+1/2,-y,z+1/2'
'x+1/2,-y+1/2,-z'
'-x,y+1/2,-z+1/2'
loop_
_atom_site_label
_atom_site_type_symbol
_atom_site_fract_x
_atom_site_fract_y
_atom_site_fract_z
Cs1 Cs 0.0014 0.2294 0.1338
B1 B 0.0341 0.9287 0.8053
B2 B 0.0733 0.1477 0.6435
B3 B 0.2319 0.6240 0.0346
O1 O 0.0539 0.7705 0.7811
O2 O 0.0868 0.5579 0.9433
O3 O 0.1289 0.4855 0.6036
O4 O 0.1739 0.0330 0.7380
O5 O 0.2393 0.7817 0.0648
# Energy relative to the elements, uncorrected: -2.6284 eV per atom
# Uncorrected energy: -12.768 eV per atom

---

Entry 3:
# meta-GGA SCAN CaBe2Mo, single point on PBEsol structure
data_CaBe2Mo
_symmetry_space_group_name_H-M 'R 3 m'
_symmetry_Int_Tables_number 160
_symmetry_space_group_name_Hall 'R 3 -2"'
_cell_length_a 2.7627
_cell_length_b 2.7627
_cell_length_c 27.0211
_cell_angle_alpha 90.00
_cell_angle_beta 90.00
_cell_angle_gamma 120.00
loop_
_atom_site_label
_atom_site_type_symbol
_atom_site_fract_x
_atom_site_fract_y
_atom_site_fract_z
Ca1 Ca 0.0000 0.0000 0.0000
Be1 Be 0.0000 0.0000 0.2383
Be2 Be 0.0000 0.0000 0.5077
Mo1 Mo 0.0000 0.0000 0.7663
# DFT formation energy: 0.8734 eV per atom
# Uncorrected energy: -12.441 eV per atom
# Distance to the lowest polymorph of the same formula: 0.00 eV per formula unit

---

no.,magnetization (μB per formula unit)
1,0.0
2,0.0
3,0.0